(1)
Computed, not measured: crystalline K5Si2O6 at its relaxed geometry at the PBE level of DFT. Values from VASP.

Geometry as Quantum ESPRESSO input:
```
&SYSTEM
  ibrav = 0, nat = 26, ntyp = 3
/
ATOMIC_SPECIES
K 39.10 K.upf
Si 28.09 Si.upf
O 16.00 O.upf
CELL_PARAMETERS angstrom
-0.731 -3.923 5.091
0.485 -6.198 -1.785
13.325 -2.513 3.188
ATOMIC_POSITIONS crystal
K 0.206 0.681 0.495
K 0.597 0.403 0.250
Si 0.637 0.913 0.431
K 0.916 0.787 0.217
K 0.403 0.597 0.750
O 0.386 0.136 0.442
O 0.998 0.159 0.118
K 0.794 0.319 0.505
O 0.841 0.002 0.382
O 0.002 0.841 0.882
O 0.718 0.609 0.881
Si 0.913 0.637 0.931
K 0.787 0.916 0.717
Si 0.087 0.363 0.069
K 0.084 0.213 0.783
K 0.681 0.206 0.995
O 0.282 0.391 0.119
O 0.159 0.998 0.618
K 0.213 0.084 0.283
O 0.136 0.386 0.942
O 0.391 0.282 0.619
Si 0.363 0.087 0.569
O 0.614 0.864 0.558
K 0.319 0.794 0.005
O 0.609 0.718 0.381
O 0.864 0.614 0.058
```

Properties
calculated total energy: -72.8 eV per formula unit
ΔE_f (raw): -2.052 eV/atom
calculated volume: 20.4 Å³/atom


(2)
Computed, not measured: crystalline K4SiO4 at its relaxed geometry at the PBE level of DFT. Values from VASP.

Geometry as Quantum ESPRESSO input:
```
&SYSTEM
  ibrav = 0, nat = 18, ntyp = 3
/
ATOMIC_SPECIES
K 39.10 K.upf
O 16.00 O.upf
Si 28.09 Si.upf
CELL_PARAMETERS angstrom
5.899 0.000 0.000
0.000 7.318 0.000
0.000 0.000 7.318
ATOMIC_POSITIONS crystal
K 0.120 0.783 0.500
O 0.164 0.000 0.187
K 0.120 0.217 0.500
K 0.380 0.283 0.000
O 0.336 0.500 0.687
K 0.880 0.500 0.783
O 0.836 0.813 0.000
K 0.380 0.717 0.000
K 0.880 0.500 0.217
K 0.620 0.000 0.717
K 0.620 0.000 0.283
Si 0.500 0.500 0.500
O 0.336 0.500 0.313
O 0.164 0.000 0.813
Si 0.000 0.000 0.000
O 0.664 0.313 0.500
O 0.836 0.187 0.000
O 0.664 0.687 0.500
```

Properties
calculated total energy: -47.5 eV per formula unit
ΔE_f (raw): -1.984 eV/atom
calculated volume: 17.6 Å³/atom


| no. | D(E_F) (states/eV/f.u.) |
| --- | --- |
| 1 | 1.65 |
| 2 | 0.00 |